[1]
Compound: BiOsN2O
Source: the Alexandria database
Functional: PBE-GGA
Structure: optimized geometry

Cell: 4.2896 4.2896 4.1169 Å, 90.00 90.00 90.00°
Closest atoms and distances in Å follow each position.
Fractional positions:
N (0.0000, 0.5000, 0.0000)  2 Bi 2.14
O (0.0000, 0.0000, 0.5000)  2 Bi 2.06
Bi (0.0000, 0.0000, 0.0000)  2 O 2.06, 4 N 2.14
Os (0.5000, 0.5000, 0.5000)  8 N 2.97, 4 O 3.03
N (0.5000, 0.0000, 0.0000)  2 Bi 2.14

Crystal system: tetragonal
Formation energy without anion corrections: 2.16 eV/atom
Electronic total energy: -25.937 eV/f.u.


[2]
Compound: AlHS2
Source: the Alexandria database
Functional: PBE-GGA
Structure: optimized geometry

Cell: 7.8356 7.8356 7.8356 Å, 20.72 20.72 20.72°
Closest atoms and distances in Å follow each position.
Fractional positions:
S (0.1065, 0.1065, 0.1065)  3 H 2.14
Al (0.0000, 0.0000, 0.0000)  2 S 2.45
S (0.8935, 0.8935, 0.8935)  3 H 2.14
H (0.5000, 0.5000, 0.5000)  6 S 2.14

Crystal system: trigonal
Electronic total energy: -12.922 eV/f.u.
Excess energy over the best structure of this formula in the dataset: 1308 meV per atom


[3]
Compound: KY3Be
Source: the Alexandria database
Functional: PBE-GGA
Structure: optimized geometry

Cell: 5.4958 5.4958 5.4958 Å, 90.00 90.00 90.00°
Closest atoms and distances in Å follow each position.
Fractional positions:
K (0.5000, 0.5000, 0.5000)  12 Y 3.89
Y (0.5000, 0.0000, 0.0000)  2 Be 2.75
Y (0.0000, 0.5000, 0.0000)  2 Be 2.75
Be (0.0000, 0.0000, 0.0000)  6 Y 2.75
Y (0.0000, 0.0000, 0.5000)  2 Be 2.75

Calculated formation energy: 42.5 kJ per mole of atoms
Crystal system: cubic
Electronic total energy: -22.014 eV/f.u.
Excess energy over the best structure of this formula in the dataset: 0 meV per atom


[4]
Compound: Si3Tc
Source: the Alexandria database
Functional: PBE-GGA
Structure: optimized geometry

Cell: 4.7102 4.7102 4.7102 Å, 115.40 115.40 115.40°
Closest atoms and distances in Å follow each position.
Fractional positions:
Si (0.0000, 0.0000, 0.0000)  2 Tc 2.52, 4 Si 2.52
Tc (0.0000, 0.5000, 0.5000)  6 Si 2.52
Si (0.5000, 0.0000, 0.5000)  4 Si 2.52, 2 Tc 2.52
Si (0.5000, 0.5000, 0.0000)  4 Si 2.52, 2 Tc 2.52

Crystal system: trigonal
Formation energy without anion corrections: 0.20 eV/atom
Electronic total energy: -25.817 eV/f.u.
Excess energy over the best structure of this formula in the dataset: 388 meV per atom


[5]
Compound: Tb5Dy4Sc2
Source: the Alexandria database
Functional: PBE-GGA
Structure: optimized geometry

Cell: 3.5398 8.5850 13.6428 Å, 84.03 121.29 101.90°
Closest atoms and distances in Å follow each position.
Fractional positions:
Tb (0.5000, 0.0000, 0.0000)  6 Dy 3.45-3.49, 6 Tb 3.54-3.66
Tb (0.9037, 0.7002, 0.5263)  3 Sc 3.31-3.35, 3 Tb 3.54-3.64, 2 Dy 3.59
Dy (0.0624, 0.3025, 0.2057)  2 Sc 3.30, 5 Dy 3.45-3.55, 5 Tb 3.49-3.59
Tb (0.4766, 0.0468, 0.7270)  2 Sc 3.39, 3 Dy 3.52-3.53, 6 Tb 3.54-3.73
Dy (0.0570, 0.3427, 0.9430)  2 Sc 3.31, 7 Dy 3.44-3.55, 3 Tb 3.45-3.53
Sc (0.1052, 0.3895, 0.7056)  4 Dy 3.30-3.31, 5 Tb 3.31-3.39, 2 Sc 3.54
Dy (0.9376, 0.6975, 0.7943)  2 Sc 3.30, 5 Dy 3.45-3.55, 5 Tb 3.49-3.59
Tb (0.0963, 0.2998, 0.4737)  3 Sc 3.31-3.35, 3 Tb 3.54-3.64, 2 Dy 3.59
Sc (0.8948, 0.6105, 0.2944)  4 Dy 3.30-3.31, 5 Tb 3.31-3.39, 2 Sc 3.54
Dy (0.9430, 0.6573, 0.0570)  2 Sc 3.31, 7 Dy 3.44-3.55, 3 Tb 3.45-3.53
Tb (0.5234, 0.9532, 0.2730)  2 Sc 3.39, 3 Dy 3.52-3.53, 6 Tb 3.54-3.73

Calculated formation energy: 9.6 kJ per mole of atoms
Crystal system: triclinic
Electronic total energy: -53.130 eV/f.u.
Excess energy over the best structure of this formula in the dataset: 0 meV per atom


[6]
Compound: Ac2PrCd3
Source: the Alexandria database
Functional: PBE-GGA
Structure: optimized geometry

Cell: 4.0128 4.0128 12.0478 Å, 90.00 90.00 90.00°
Closest atoms and distances in Å follow each position.
Fractional positions:
Pr (0.5000, 0.5000, 0.5000)  8 Cd 3.36
Cd (0.0000, 0.0000, 0.0000)  8 Ac 3.53
Ac (0.5000, 0.5000, 0.1736)  8 Cd 3.53-3.55, 1 Pr 3.93
Ac (0.5000, 0.5000, 0.8264)  8 Cd 3.53-3.55, 1 Pr 3.93
Cd (0.0000, 0.0000, 0.3500)  4 Pr 3.36, 4 Ac 3.55, 1 Cd 3.61
Cd (0.0000, 0.0000, 0.6500)  4 Pr 3.36, 4 Ac 3.55, 1 Cd 3.61

Calculated formation energy: -28.5 kJ per mole of atoms
Crystal system: tetragonal
Electronic total energy: -17.516 eV/f.u.


[7]
Compound: PrP5O14
Source: the Alexandria database
Functional: PBE-GGA
Structure: optimized geometry

Cell: 9.2064 8.9294 13.2375 Å, 89.94 90.00 90.00°
Closest atoms and distances in Å follow each position.
Fractional positions:
O (0.5880, 0.2135, 0.9999)  1 P 1.48
O (0.0880, 0.7865, 0.5001)  1 P 1.48
O (0.8143, 0.2833, 0.9059)  2 P 1.58-1.64
O (0.9120, 0.2135, 0.4999)  1 P 1.48
O (0.0942, 0.2731, 0.8872)  1 P 1.48
Pr (0.1879, 0.2222, 0.4998)  8 O 2.43-2.54
O (0.5942, 0.7269, 0.6128)  1 P 1.48
O (0.1145, 0.0862, 0.6505)  1 P 1.49
O (0.1145, 0.0868, 0.3493)  1 P 1.49
O (0.8855, 0.9132, 0.6507)  1 P 1.49
O (0.6857, 0.2833, 0.4059)  2 P 1.58-1.64
O (0.3143, 0.7167, 0.5941)  2 P 1.58-1.64
O (0.5942, 0.7281, 0.3869)  1 P 1.48
O (0.3855, 0.0868, 0.8493)  1 P 1.49
O (0.0863, 0.8885, 0.7816)  2 P 1.58-1.63
P (0.9995, 0.0010, 0.2960)  4 O 1.49-1.63
P (0.4995, 0.9990, 0.2040)  4 O 1.49-1.63
O (0.5813, 0.3850, 0.2541)  2 P 1.58-1.63
O (0.1854, 0.7150, 0.9070)  2 P 1.58-1.64
O (0.6145, 0.9132, 0.1507)  1 P 1.49
P (0.7469, 0.1850, 0.0000)  4 O 1.48-1.64
O (0.3146, 0.7150, 0.4070)  2 P 1.58-1.64
O (0.4058, 0.2731, 0.3872)  1 P 1.48
O (0.8146, 0.2850, 0.0930)  2 P 1.58-1.64
O (0.8833, 0.5806, 0.6214)  1 P 1.49
P (0.5487, 0.2639, 0.6633)  4 O 1.48-1.58
O (0.3855, 0.0862, 0.1505)  1 P 1.49
O (0.9165, 0.1074, 0.7837)  2 P 1.58-1.63
O (0.9137, 0.1115, 0.2184)  2 P 1.58-1.63
O (0.9187, 0.3850, 0.7541)  2 P 1.58-1.63
O (0.6167, 0.5806, 0.1214)  1 P 1.49
P (0.0481, 0.7383, 0.1635)  4 O 1.48-1.58
O (0.0942, 0.2719, 0.1131)  1 P 1.48
P (0.2469, 0.8150, 0.5000)  4 O 1.48-1.64
O (0.9058, 0.7281, 0.8869)  1 P 1.48
O (0.5814, 0.3901, 0.7435)  2 P 1.58-1.63
P (0.0005, 0.9990, 0.7040)  4 O 1.49-1.63
O (0.8110, 0.0317, 0.0007)  1 P 1.49
O (0.4165, 0.8926, 0.7163)  2 P 1.58-1.63
Pr (0.8121, 0.7778, 0.5002)  8 O 2.43-2.54
P (0.5005, 0.0010, 0.7960)  4 O 1.49-1.63
P (0.9513, 0.2639, 0.1633)  4 O 1.48-1.58
O (0.1857, 0.7167, 0.0941)  2 P 1.58-1.64
O (0.5835, 0.1074, 0.2837)  2 P 1.58-1.63
O (0.1167, 0.4194, 0.3786)  1 P 1.49
P (0.5481, 0.2617, 0.3365)  4 O 1.48-1.58
P (0.7531, 0.1850, 0.5000)  4 O 1.48-1.64
O (0.8855, 0.9138, 0.3495)  1 P 1.49
O (0.0835, 0.8926, 0.2163)  2 P 1.58-1.63
O (0.3833, 0.4194, 0.8786)  1 P 1.49
P (0.5003, 0.5008, 0.8237)  4 O 1.49-1.63
O (0.9058, 0.7269, 0.1128)  1 P 1.48
P (0.9997, 0.5008, 0.3237)  4 O 1.49-1.63
P (0.9519, 0.2617, 0.8365)  4 O 1.48-1.58
O (0.6145, 0.9138, 0.8495)  1 P 1.49
P (0.4997, 0.4992, 0.1763)  4 O 1.49-1.63
P (0.4513, 0.7361, 0.3367)  4 O 1.48-1.58
O (0.8822, 0.5803, 0.3794)  1 P 1.49
O (0.4120, 0.7865, 0.0001)  1 P 1.48
P (0.4519, 0.7383, 0.6635)  4 O 1.48-1.58
P (0.2531, 0.8150, 0.0000)  4 O 1.48-1.64
O (0.4137, 0.8885, 0.2816)  2 P 1.58-1.63
Pr (0.3121, 0.2222, 0.9998)  8 O 2.43-2.54
P (0.0003, 0.4992, 0.6763)  4 O 1.49-1.63
O (0.4187, 0.6150, 0.7459)  2 P 1.58-1.63
O (0.0814, 0.6099, 0.7565)  2 P 1.58-1.63
Pr (0.6879, 0.7778, 0.0002)  8 O 2.43-2.54
O (0.9186, 0.3901, 0.2435)  2 P 1.58-1.63
O (0.4186, 0.6099, 0.2565)  2 P 1.58-1.63
O (0.6854, 0.2850, 0.5930)  2 P 1.58-1.64
O (0.1890, 0.9683, 0.9993)  1 P 1.49
O (0.1178, 0.4197, 0.6206)  1 P 1.49
O (0.6178, 0.5803, 0.8794)  1 P 1.49
P (0.0487, 0.7361, 0.8367)  4 O 1.48-1.58
O (0.3822, 0.4197, 0.1206)  1 P 1.49
O (0.5863, 0.1115, 0.7184)  2 P 1.58-1.63
O (0.0813, 0.6150, 0.2459)  2 P 1.58-1.63
O (0.4058, 0.2719, 0.6131)  1 P 1.48
O (0.6890, 0.0317, 0.5007)  1 P 1.49
O (0.3110, 0.9683, 0.4993)  1 P 1.49

Crystal system: monoclinic
Formation energy without anion corrections: -2.33 eV/atom
Electronic total energy: -147.913 eV/f.u.


[8]
Compound: CsCuSn2
Source: the Alexandria database
Functional: PBE-GGA
Structure: optimized geometry

Cell: 4.4556 4.4556 8.1820 Å, 74.20 74.20 60.00°
Closest atoms and distances in Å follow each position.
Fractional positions:
Sn (0.0394, 0.0394, 0.8817)  3 Cu 2.71
Cs (0.4980, 0.4980, 0.5059)  6 Sn 3.89-3.95, 1 Cu 3.99
Sn (0.2932, 0.2932, 0.1205)  3 Cu 2.76
Cu (0.6694, 0.6694, 0.9919)  6 Sn 2.71-2.76

Calculated formation energy: -12.7 kJ per mole of atoms
Crystal system: trigonal
Electronic total energy: -13.481 eV/f.u.


> Which of these has the highest electronic total energy?

AlHS2